{
  "formula": "BaScOs2",
  "functional": "PBE",
  "state": "relaxed",
  "formation_enthalpy_0k_ev_per_atom": 0.887,
  "spacegroup": "Immm, No. 71",
  "total_magnetization_mub_per_cell": 0.0,
  "density_g_cm3": 11.753,
  "de_polymorph_ev_per_atom": 0.754,
  "lattice_angstrom": [[3.2092, 0.0000, 0.0000], [0.0000, 5.2052, 0.0000], [0.0000, 0.0000, 9.5190]],
  "species": ["Ba", "Ba", "Sc", "Sc", "Os", "Os", "Os", "Os"],
  "fractional_positions": [[0.0000, 0.0000, 0.0000], [0.5000, 0.5000, 0.5000], [0.0000, 0.0000, 0.5000], [0.5000, 0.5000, 0.0000], [0.0000, 0.5000, 0.2335], [0.0000, 0.5000, 0.7665], [0.5000, 0.0000, 0.2665], [0.5000, 0.0000, 0.7335]]
}

---

{
  "formula": "Th2Ga2Co",
  "functional": "PBE",
  "state": "relaxed",
  "formation_enthalpy_0k_ev_per_atom": -0.486,
  "spacegroup": "C2/m, No. 12",
  "total_magnetization_mub_per_cell": 0.0,
  "density_g_cm3": 9.835,
  "lattice_angstrom": [[5.7673, -1.8502, 0.0000], [5.7673, 1.8502, 0.0000], [-5.6052, 0.0000, 10.4817]],
  "species": ["Th", "Th", "Th", "Th", "Ga", "Ga", "Ga", "Ga", "Co", "Co"],
  "fractional_positions": [[0.1047, 0.1047, 0.3850], [0.2739, 0.2739, 0.8579], [0.7261, 0.7261, 0.1421], [0.8953, 0.8953, 0.6150], [0.0255, 0.0255, 0.9076], [0.3814, 0.3814, 0.3897], [0.6186, 0.6186, 0.6103], [0.9745, 0.9745, 0.0924], [0.4377, 0.4377, 0.2098], [0.5623, 0.5623, 0.7902]]
}

---

{
  "formula": "Li2BeRu",
  "functional": "PBE",
  "state": "relaxed",
  "formation_enthalpy_0k_ev_per_atom": 0.178,
  "spacegroup": "Imm2, No. 44",
  "total_magnetization_mub_per_cell": 0.0,
  "density_g_cm3": 4.126,
  "lattice_angstrom": [[2.5161, 0.0000, 0.0000], [0.0000, 4.5146, 0.0000], [0.0000, 0.0000, 8.7838]],
  "species": ["Li", "Li", "Li", "Li", "Be", "Be", "Ru", "Ru"],
  "fractional_positions": [[0.0000, 0.0000, 0.0000], [0.0000, 0.5000, 0.2396], [0.5000, 0.0000, 0.7396], [0.5000, 0.5000, 0.5000], [0.0000, 0.0000, 0.4981], [0.5000, 0.5000, 0.9981], [0.0000, 0.5000, 0.7792], [0.5000, 0.0000, 0.2792]]
}